{"formula": "SrSbCl3", "functional": "GGA-PBE", "state": "relaxed", "spacegroup": "Pm-3m", "e_above_lowest_polymorph_mev_per_atom": 0, "mass_density_g_cm3": 2.92, "total_energy_ev_per_atom": -3.331, "raw_formation_energy_ev_per_atom": -1.062, "lattice_angstrom": [[5.642, 0.000, 0.000], [0.000, 5.642, 0.000], [0.000, 0.000, 5.642]], "species": ["Sr", "Sb", "Cl", "Cl", "Cl"], "frac_coords": [[0.000, 0.000, 0.000], [0.500, 0.500, 0.500], [0.000, 0.000, 0.500], [0.000, 0.500, 0.000], [0.500, 0.000, 0.000]]}

***

{"formula": "Sr2LiCdRh", "functional": "GGA-PBE", "state": "relaxed", "spacegroup": "P4/mmm", "e_above_lowest_polymorph_mev_per_atom": 0, "ef_ev_per_atom": -0.094, "mass_density_g_cm3": 3.79, "total_energy_ev_per_atom": -2.803, "lattice_angstrom": [[5.731, 0.000, 0.000], [0.000, 5.731, 0.000], [0.000, 0.000, 5.307]], "species": ["Sr", "Sr", "Li", "Cd", "Rh"], "frac_coords": [[0.000, 0.500, 0.000], [0.500, 0.000, 0.000], [0.000, 0.000, 0.500], [0.500, 0.500, 0.500], [0.500, 0.500, 0.000]]}